No. 1
# Tm7MgSc3

A relaxed structure of Tm7MgSc3 (PBE, Alexandria via LeMat-Bulk).

Structure (CIF):
```
data_Tm7MgSc3
_symmetry_space_group_name_H-M 'P 3 m 1'
_symmetry_Int_Tables_number 156
_cell_length_a 6.7827
_cell_length_b 6.7827
_cell_length_c 8.1615
_cell_angle_alpha 90.00
_cell_angle_beta 90.00
_cell_angle_gamma 120.00
loop_
_symmetry_equiv_pos_as_xyz
'x,y,z'
'-y,x-y,z'
'-x+y,-x,z'
'-y,-x,z'
'-x+y,y,z'
'x,x-y,z'
loop_
_atom_site_label
_atom_site_type_symbol
_atom_site_fract_x
_atom_site_fract_y
_atom_site_fract_z
Tm1 Tm 0.0000 0.0000 0.0000
Tm2 Tm 0.1640 0.3279 0.3405
Tm3 Tm 0.5007 0.0014 0.9981
Mg1 Mg 0.6667 0.3333 0.3427
Sc1 Sc 0.3308 0.1654 0.6716
```

The energy relative to the elements is 2.5 eV per formula unit. For the calculated total energy, the calculation gives -4.486 eV per atom. As for the crystal system: trigonal. The calculation puts the mass density at 6.9 g cm⁻³. The value obtained for the total moment is 0.044 μB per atom.

No. 2
# Tm12MgSc6

A relaxed structure of Tm12MgSc6 (PBE, Alexandria via LeMat-Bulk).

Structure (CIF):
```
data_Tm12MgSc6
_symmetry_space_group_name_H-M 'R -3'
_symmetry_Int_Tables_number 148
_symmetry_space_group_name_Hall '-R 3'
_cell_length_a 11.3568
_cell_length_b 11.3568
_cell_length_c 14.6572
_cell_angle_alpha 90.00
_cell_angle_beta 90.00
_cell_angle_gamma 120.00
loop_
_atom_site_label
_atom_site_type_symbol
_atom_site_fract_x
_atom_site_fract_y
_atom_site_fract_z
Tm1 Tm 0.0085 0.1841 0.3154
Tm2 Tm 0.0465 0.8475 0.9132
Mg1 Mg 0.0000 0.0000 0.5000
Sc1 Sc 0.0247 0.4321 0.1913
```

The energy relative to the elements is 2.7 eV per formula unit. For the calculated total energy, the calculation gives -4.763 eV per atom. As for the crystal system: trigonal. The calculation puts the mass density at 7.1 g cm⁻³. The value obtained for the total moment is 0.000 μB per atom.

No. 3
# Tm7MgSc2

A relaxed structure of Tm7MgSc2 (PBE, Alexandria via LeMat-Bulk).

Structure (CIF):
```
data_Tm7MgSc2
_symmetry_space_group_name_H-M 'C m m m'
_symmetry_Int_Tables_number 65
_symmetry_space_group_name_Hall '-C 2 2'
_cell_length_a 8.645
_cell_length_b 14.801
_cell_length_c 5.431
_cell_angle_alpha 90.00
_cell_angle_beta 90.00
_cell_angle_gamma 90.00
loop_
_atom_site_label
_atom_site_type_symbol
_atom_site_fract_x
_atom_site_fract_y
_atom_site_fract_z
Tm1 Tm 0.000 0.000 0.000
Tm2 Tm 0.000 0.263 0.500
Tm3 Tm 0.180 0.384 0.000
Mg1 Mg 0.000 0.500 0.500
Sc1 Sc 0.000 0.209 0.000
```

The energy relative to the elements is 6.6 eV per formula unit. For the calculated total energy, the calculation gives -3.895 eV per atom. As for the crystal system: orthorhombic. The calculation puts the mass density at 6.2 g cm⁻³. The value obtained for the total moment is 0.000 μB per atom.